#a
LiZn2Ga6: optimized geometry, PBE.

Cell and atoms, written as POSCAR:
```
LiZn2Ga6
1.0
2.521 1.456 8.461
-2.521 1.456 8.461
0.000 -2.911 8.461
Li Zn Ga
1 2 6
Direct
0.000 0.000 0.000
0.290 0.290 0.290
0.383 0.383 0.383
0.080 0.453 0.826
0.219 0.851 0.588
0.453 0.826 0.080
0.588 0.219 0.851
0.826 0.080 0.453
0.851 0.588 0.219
```

Values from the calculation:
SG: R3 (146)



#b
LiZn2Ga6: optimized geometry, PBE.

Cell and atoms, written as POSCAR:
```
LiZn2Ga6
1.0
5.264 -5.413 0.000
5.264 5.413 0.000
-3.232 0.000 5.577
Li Zn Ga
2 4 12
Direct
0.187 0.813 0.750
0.813 0.187 0.250
0.180 0.421 0.512
0.421 0.180 0.012
0.579 0.820 0.988
0.820 0.579 0.488
0.067 0.625 0.246
0.083 0.180 0.042
0.180 0.083 0.542
0.326 0.533 0.993
0.375 0.933 0.254
0.467 0.674 0.507
0.533 0.326 0.493
0.625 0.067 0.746
0.674 0.467 0.007
0.820 0.917 0.458
0.917 0.820 0.958
0.933 0.375 0.754
```

Values from the calculation:
SG: C2/c (15)



Computed energies relative to the best structure, in meV per atom: #a 114; #b 0



#a
Li4ZnGa2: optimized geometry, PBE.

Cell and atoms, written as POSCAR:
```
Li4ZnGa2
1.0
6.555 -1.461 0.000
6.555 1.461 0.000
-2.926 0.000 6.170
Li Zn Ga
4 1 2
Direct
0.086 0.086 0.206
0.358 0.358 0.112
0.642 0.642 0.888
0.914 0.914 0.794
0.000 0.000 0.500
0.221 0.221 0.641
0.779 0.779 0.359
```

Values from the calculation:
SG: C2/m (12)



#b
Li4ZnGa2: optimized geometry, PBE.

Cell and atoms, written as POSCAR:
```
Li4ZnGa2
1.0
4.660 0.000 0.000
-1.716 4.619 0.000
-0.771 -1.439 5.341
Li Zn Ga
4 1 2
Direct
0.000 0.000 0.000
0.007 0.591 0.282
0.403 0.383 0.483
0.424 0.973 0.770
0.936 0.441 0.754
0.471 0.530 0.005
0.698 0.988 0.379
```

Values from the calculation:
SG: P1 (1)



Computed energies relative to the best structure, in meV per atom: #a 55; #b 0



#a
Li3ZnGa3: optimized geometry, PBE.

Cell and atoms, written as POSCAR:
```
Li3ZnGa3
1.0
3.430 -4.996 0.000
3.430 4.996 0.000
-0.563 0.000 7.070
Li Zn Ga
6 2 6
Direct
0.114 0.886 0.000
0.337 0.663 0.500
0.382 0.382 0.121
0.618 0.618 0.879
0.663 0.337 0.500
0.886 0.114 0.000
0.246 0.246 0.710
0.754 0.754 0.290
0.030 0.507 0.808
0.130 0.130 0.356
0.493 0.970 0.192
0.507 0.030 0.808
0.870 0.870 0.644
0.970 0.493 0.192
```

Values from the calculation:
SG: C2/m (12)



#b
Li3ZnGa3: optimized geometry, PBE.

Cell and atoms, written as POSCAR:
```
Li3ZnGa3
1.0
11.125 0.000 0.000
0.000 4.121 0.000
0.000 0.000 10.202
Li Zn Ga
12 4 12
Direct
0.033 0.250 0.177
0.183 0.750 0.478
0.233 0.750 0.781
0.267 0.250 0.281
0.317 0.250 0.978
0.467 0.750 0.677
0.533 0.250 0.323
0.683 0.750 0.022
0.733 0.750 0.719
0.767 0.250 0.219
0.817 0.250 0.522
0.967 0.750 0.823
0.094 0.250 0.671
0.406 0.750 0.171
0.594 0.250 0.829
0.906 0.750 0.329
0.043 0.250 0.423
0.086 0.250 0.926
0.175 0.750 0.063
0.325 0.250 0.563
0.414 0.750 0.426
0.457 0.750 0.923
0.543 0.250 0.077
0.586 0.250 0.574
0.675 0.750 0.437
0.825 0.250 0.937
0.914 0.750 0.074
0.957 0.750 0.577
```

Values from the calculation:
SG: Pnma (62)



Computed energies relative to the best structure, in meV per atom: #a 83; #b 0